Entry 1:
The following is a GGA-PBE calculation of a geometry-optimized Nd5S5N structure, from Alexandria via LeMat-Bulk.

a b c (Å): 12.6926 5.6557 7.9249
angles (deg): 90.00 108.59 90.00
Space group C2/m (No. 12)
Symmetry-distinct sites (fractional):
Nd1 0.0000 0.0000 0.0000 [2 per cell]
Nd2 0.1489 0.5000 0.8402 [4 per cell]
Nd3 0.1562 0.5000 0.3166 [4 per cell]
S1 0.0000 0.5000 0.5000 [2 per cell]
S2 0.1680 0.0000 0.8356 [4 per cell]
S3 0.1747 0.0000 0.3306 [4 per cell]
N1 0.0000 0.5000 0.0000 [2 per cell]

Values from the calculation:
total moment	0.000	μB/atom
formation energy without anion corrections	-1.883	eV/atom

---

Entry 2:
The following is a GGA-PBE calculation of a geometry-optimized Nd3S2N structure, from Alexandria via LeMat-Bulk.

a b c (Å): 14.2181 7.7341 5.6243
angles (deg): 90.00 90.00 90.00
Space group Cmc2_1 (No. 36)
Symmetry-distinct sites (fractional):
Nd1 0.0000 0.1485 0.0000 [4 per cell]
Nd2 0.1363 0.3283 0.5041 [8 per cell]
S1 0.1756 0.3100 0.0025 [8 per cell]
N1 0.0000 0.1528 0.5149 [4 per cell]

Values from the calculation:
total moment	0.000	μB/atom
formation energy without anion corrections	-1.628	eV/atom
energy above the lowest structure with this stoichiometry	0.00	eV/f.u.

---

Entry 3:
The following is a GGA-PBE calculation of a geometry-optimized Nd4S2N structure, from Alexandria via LeMat-Bulk.

a b c (Å): 3.8480 3.8480 39.4457
angles (deg): 90.00 90.00 120.00
Space group R-3m (No. 166, hexagonal axes)
Symmetry-distinct sites (fractional):
Nd1 0.0000 0.0000 0.1278 [6 per cell]
Nd2 0.0000 0.0000 0.2983 [6 per cell]
S1 0.0000 0.0000 0.4151 [6 per cell]
N1 0.0000 0.0000 0.0000 [3 per cell]

Values from the calculation:
total moment	0.177	μB/atom
formation energy without anion corrections	-1.496	eV/atom

---

Entry 4:
The following is a GGA-PBE calculation of a geometry-optimized Nd4SN3 structure, from Alexandria via LeMat-Bulk.

a b c (Å): 3.6428 3.6428 12.9663
angles (deg): 90.00 90.00 120.00
Space group P-3m1 (No. 164)
Symmetry-distinct sites (fractional):
Nd1 0.3333 0.6667 0.3433 [2 per cell]
Nd2 0.3333 0.6667 0.8867 [2 per cell]
S1 0.0000 0.0000 0.5000 [1 per cell]
N1 0.0000 0.0000 0.0000 [1 per cell]
N2 0.0000 0.0000 0.2433 [2 per cell]

Values from the calculation:
total moment	0.000	μB/atom
formation energy without anion corrections	-1.467	eV/atom

---

Entry 5:
The following is a GGA-PBE calculation of a geometry-optimized Nd3SN2 structure, from Alexandria via LeMat-Bulk.

a b c (Å): 3.8619 12.9414 10.0906
angles (deg): 90.00 90.00 90.00
Space group Cmcm (No. 63)
Symmetry-distinct sites (fractional):
Nd1 0.0000 0.0705 0.2500 [4 per cell]
Nd2 0.0000 0.3782 0.0681 [8 per cell]
S1 0.0000 0.2519 0.7500 [4 per cell]
N1 0.0000 0.0000 0.0000 [4 per cell]
N2 0.0000 0.4733 0.2500 [4 per cell]

Values from the calculation:
total moment	0.099	μB/atom
formation energy without anion corrections	-1.402	eV/atom
energy above the lowest structure with this stoichiometry	0.11	eV/f.u.

---

Entry 6:
The following is a GGA-PBE calculation of a geometry-optimized Nd3S2N structure, from Alexandria via LeMat-Bulk.

a b c (Å): 3.8171 3.8171 20.6066
angles (deg): 90.00 90.00 120.00
Space group P6_3/mmc (No. 194)
Symmetry-distinct sites (fractional):
Nd1 0.0000 0.0000 0.0000 [2 per cell]
Nd2 0.3333 0.6667 0.1754 [4 per cell]
S1 0.3333 0.6667 0.5876 [4 per cell]
N1 0.0000 0.0000 0.2500 [2 per cell]

Values from the calculation:
total moment	0.000	μB/atom
formation energy without anion corrections	-1.626	eV/atom
energy above the lowest structure with this stoichiometry	0.02	eV/f.u.

---

Copy entry 5 word for word.
The following is a GGA-PBE calculation of a geometry-optimized Nd3SN2 structure, from Alexandria via LeMat-Bulk.

a b c (Å): 3.8619 12.9414 10.0906
angles (deg): 90.00 90.00 90.00
Space group Cmcm (No. 63)
Symmetry-distinct sites (fractional):
Nd1 0.0000 0.0705 0.2500 [4 per cell]
Nd2 0.0000 0.3782 0.0681 [8 per cell]
S1 0.0000 0.2519 0.7500 [4 per cell]
N1 0.0000 0.0000 0.0000 [4 per cell]
N2 0.0000 0.4733 0.2500 [4 per cell]

Values from the calculation:
total moment	0.099	μB/atom
formation energy without anion corrections	-1.402	eV/atom
energy above the lowest structure with this stoichiometry	0.11	eV/f.u.

---

Question: Among the records above, which one has the highest formation energy without anion corrections?
Answer: Nd3SN2

---

Question: Look up the formation energy without anion corrections of the first one.
Answer: -1.883 eV/atom

---

Question: Which formula does entry 6 have?
Answer: Nd3S2N